DFT (PBE) results for a geometry-optimized Pm4HoGa4 structure.

Output
**Symmetry**: I4/m
**E_form**: -0.394 eV/atom
**Calculated volume**: 27.87 A^3/atom
**Total magnetization**: 0.0 μB per formula unit

a = 4.7665 Å, b = 10.2597 Å, c = 10.2597 Å
α = 90.00°, β = 90.00°, γ = 90.00°
Sites, in units of the cell vectors:
Pm (0.5002, 0.1462, 0.3671)
Pm (0.4998, 0.3671, 0.8538)
Pm (0.4998, 0.6329, 0.1462)
Pm (0.5002, 0.8538, 0.6329)
Pm (0.0002, 0.1329, 0.6462)
Pm (0.9998, 0.6462, 0.8671)
Pm (0.0002, 0.8671, 0.3538)
Pm (0.9998, 0.3538, 0.1329)
Ga (0.5001, 0.0700, 0.8320)
Ga (0.0001, 0.6680, 0.5700)
Ga (0.9999, 0.4300, 0.6680)
Ga (0.4999, 0.8320, 0.9300)
Ga (0.0001, 0.3320, 0.4300)
Ga (0.5001, 0.9300, 0.1680)
Ga (0.9999, 0.5700, 0.3320)
Ga (0.4999, 0.1680, 0.0700)
Ho (0.5000, 0.5000, 0.5000)
Ho (0.0000, 0.0000, 0.0000)

DFT (PBE) results for a geometry-optimized PmHo2Ga9 structure.

Output
**Symmetry**: P4/mmm
**E_form**: -0.530 eV/atom
**Calculated volume**: 19.76 A^3/atom
**Total magnetization**: 0.0 μB per formula unit

a = 4.2924 Å, b = 4.2924 Å, c = 12.8707 Å
α = 90.00°, β = 90.00°, γ = 90.00°
Sites, in units of the cell vectors:
Ga (0.5000, 0.0000, 0.8290)
Ga (0.0000, 0.5000, 0.8290)
Ga (0.5000, 0.0000, 0.1710)
Ga (0.5000, 0.5000, 0.6664)
Ga (0.5000, 0.5000, 0.0000)
Ga (0.0000, 0.5000, 0.5000)
Ga (0.0000, 0.5000, 0.1710)
Ga (0.5000, 0.0000, 0.5000)
Ga (0.5000, 0.5000, 0.3336)
Pm (0.0000, 0.0000, 0.0000)
Ho (0.0000, 0.0000, 0.3356)
Ho (0.0000, 0.0000, 0.6644)

DFT (PBE) results for a geometry-optimized PmHoGa4 structure.

Output
**Symmetry**: Immm
**Energy above the most stable polymorph in this dataset**: 0.0000 eV/atom
**E_form**: -0.660 eV/atom
**Calculated volume**: 21.56 A^3/atom
**Total magnetization**: 0.0 μB per formula unit

a = 4.2406 Å, b = 5.9367 Å, c = 5.9367 Å
α = 88.98°, β = 69.07°, γ = 69.07°
Sites, in units of the cell vectors:
Ga (0.6667, 0.0851, 0.0815)
Ga (0.3333, 0.9149, 0.9185)
Ga (0.3333, 0.4182, 0.4152)
Ga (0.6667, 0.5818, 0.5848)
Ho (0.0000, 0.5000, 0.0000)
Pm (0.0000, 0.0000, 0.5000)

DFT (PBE) results for a geometry-optimized Pm5HoGa2 structure.

Output
**Symmetry**: Immm
**E_form**: -0.137 eV/atom
**Calculated volume**: 29.36 A^3/atom
**Total magnetization**: 0.0 μB per formula unit

a = 4.3034 Å, b = 7.7153 Å, c = 7.7153 Å
α = 79.76°, β = 73.81°, γ = 73.81°
Sites, in units of the cell vectors:
Pm (0.3489, 0.8517, 0.4505)
Pm (0.3489, 0.4505, 0.8517)
Pm (0.6511, 0.5495, 0.1483)
Pm (0.0000, 0.5000, 0.5000)
Pm (0.6511, 0.1483, 0.5495)
Ho (0.0000, 0.0000, 0.0000)
Ga (0.7117, 0.7883, 0.7883)
Ga (0.2883, 0.2117, 0.2117)